Entry 1:
RbRuNF2 after structural relaxation, computed with GGA-PBE.

## Properties
energy above the lowest structure with this stoichiometry: 2127 meV per atom
ΔE_f (raw): 1.016 eV per atom
density of states at the Fermi level: 0.342 states/eV per atom
magnetic moment: 5.0 μB per formula unit

Geometry as extended XYZ:
```
5
Lattice="-2.589 -1.012 4.100 4.201 -0.123 2.622 -0.411 4.598 0.875" Properties=species:S:1:pos:R:3 pbc="T T T"
Ru 0.600 1.732 3.798
N -0.206 2.299 0.437
Rb 0.000 0.000 0.000
F 2.100 -0.062 1.311
F -1.295 -0.506 2.050
```

---

Entry 2:
RbSN2F after structural relaxation, computed with GGA-PBE.

## Properties
energy above the lowest structure with this stoichiometry: 1422 meV per atom
ΔE_f (raw): 1.763 eV per atom
density of states at the Fermi level: 0.257 states/eV per atom
magnetic moment: 4.0 μB per formula unit

Geometry as extended XYZ:
```
5
Lattice="-0.337 -5.719 1.729 3.028 1.330 4.987 -4.348 0.976 2.380" Properties=species:S:1:pos:R:3 pbc="T T T"
S -0.829 -1.707 4.548
N 1.514 0.665 2.494
N -0.168 -2.859 0.865
Rb 0.000 0.000 0.000
F -2.174 0.488 1.190
```

---

Entry 3:
RbSN2F after structural relaxation, computed with GGA-PBE.

## Properties
energy above the lowest structure with this stoichiometry: 1151 meV per atom
ΔE_f (raw): 1.493 eV per atom
density of states at the Fermi level: 0.278 states/eV per atom
magnetic moment: 6.0 μB per formula unit

Geometry as extended XYZ:
```
5
Lattice="5.244 0.000 0.000 0.000 5.244 0.000 0.000 0.000 3.979" Properties=species:S:1:pos:R:3 pbc="T T T"
S 0.000 0.000 1.989
N 0.000 2.622 0.000
N 2.622 0.000 0.000
Rb 2.622 2.622 1.989
F 0.000 0.000 0.000
```

---

Entry 4:
RbSN2F after structural relaxation, computed with GGA-PBE.

## Properties
energy above the lowest structure with this stoichiometry: 1690 meV per atom
ΔE_f (raw): 2.032 eV per atom
density of states at the Fermi level: 1.618 states/eV per atom
magnetic moment: 8.0 μB per formula unit

Geometry as extended XYZ:
```
5
Lattice="5.751 0.000 0.000 0.000 5.751 0.000 0.000 0.000 6.509" Properties=species:S:1:pos:R:3 pbc="T T T"
S 0.000 0.000 3.255
N 0.000 2.876 0.000
N 2.876 0.000 0.000
Rb 0.000 0.000 0.000
F 2.876 2.876 3.255
```

---

Entry 5:
RbS2NF after structural relaxation, computed with GGA-PBE.

## Properties
energy above the lowest structure with this stoichiometry: 0 meV per atom
ΔE_f (raw): 0.845 eV per atom
density of states at the Fermi level: 0.427 states/eV per atom
magnetic moment: 3.1 μB per formula unit

Geometry as extended XYZ:
```
5
Lattice="-2.007 3.691 -1.363 -2.379 -2.357 -2.880 -3.927 -0.720 3.833" Properties=species:S:1:pos:R:3 pbc="T T T"
S -1.190 -1.178 -1.440
S -1.003 1.846 -0.681
N -1.963 -0.360 1.917
Rb -4.156 0.307 -0.205
F 0.000 0.000 0.000
```

---

Entry 6:
RbS2NF after structural relaxation, computed with GGA-PBE.

## Properties
energy above the lowest structure with this stoichiometry: 687 meV per atom
ΔE_f (raw): 1.532 eV per atom
density of states at the Fermi level: 1.625 states/eV per atom
magnetic moment: 7.0 μB per formula unit

Geometry as extended XYZ:
```
5
Lattice="-6.455 1.057 0.110 -0.875 -4.901 -4.245 -0.551 -3.844 4.551" Properties=species:S:1:pos:R:3 pbc="T T T"
S -0.437 -2.450 -2.123
S -3.228 0.528 0.055
N -0.276 -1.922 2.275
Rb 0.000 0.000 0.000
F -3.941 -3.844 0.208
```

---

Entry 7:
RbSN2F after structural relaxation, computed with GGA-PBE.

## Properties
energy above the lowest structure with this stoichiometry: 0 meV per atom
ΔE_f (raw): 0.342 eV per atom
density of states at the Fermi level: 0.326 states/eV per atom
magnetic moment: 0.8 μB per formula unit

Geometry as extended XYZ:
```
5
Lattice="-1.714 -0.121 3.118 -3.080 -0.508 -1.712 0.868 -6.067 0.241" Properties=species:S:1:pos:R:3 pbc="T T T"
S 0.000 0.000 0.000
N -1.540 -0.254 -0.856
N -0.857 -0.061 1.559
Rb -1.963 -3.348 0.823
F 0.434 -3.033 0.120
```

---

Entry 8:
Rb2SbNF6 after structural relaxation, computed with GGA-PBE.

## Properties
ΔE_f (raw): -1.766 eV per atom
density of states at the Fermi level: 0.001 states/eV per atom
magnetic moment: 2.0 μB per formula unit

Geometry as extended XYZ:
```
10
Lattice="6.592 0.000 0.000 0.000 6.592 0.000 3.296 3.296 4.683" Properties=species:S:1:pos:R:3 pbc="T T T"
Sb 0.000 0.000 0.000
N 3.296 3.296 0.000
Rb 6.592 3.296 2.341
Rb 3.296 6.592 2.341
F 3.296 3.296 2.637
F 6.592 6.592 2.045
F 1.445 1.445 0.000
F 5.147 5.147 0.000
F 5.147 1.445 0.000
F 1.445 5.147 0.000
```

---

Entry 9:
RbSeN2F after structural relaxation, computed with GGA-PBE.

## Properties
energy above the lowest structure with this stoichiometry: 0 meV per atom
ΔE_f (raw): 0.331 eV per atom
density of states at the Fermi level: 0.249 states/eV per atom
magnetic moment: 0.8 μB per formula unit

Geometry as extended XYZ:
```
5
Lattice="3.823 0.000 0.000 0.000 3.823 0.000 0.000 0.000 5.503" Properties=species:S:1:pos:R:3 pbc="T T T"
N 0.000 1.911 0.000
N 1.911 0.000 0.000
Se 0.000 0.000 0.000
Rb 1.911 1.911 2.751
F 0.000 0.000 2.751
```

---

Entry 10:
RbSeN2F after structural relaxation, computed with GGA-PBE.

## Properties
energy above the lowest structure with this stoichiometry: 1633 meV per atom
ΔE_f (raw): 1.964 eV per atom
density of states at the Fermi level: 1.461 states/eV per atom
magnetic moment: 8.0 μB per formula unit

Geometry as extended XYZ:
```
5
Lattice="-3.445 -4.143 0.857 3.790 -3.513 -1.749 2.289 -0.620 6.205" Properties=species:S:1:pos:R:3 pbc="T T T"
N 1.895 -1.757 -0.875
N -1.722 -2.072 0.428
Se 1.144 -0.310 3.102
Rb 0.000 0.000 0.000
F 1.317 -4.138 2.656
```

---

Entry 11:
RbSeN2F after structural relaxation, computed with GGA-PBE.

## Properties
energy above the lowest structure with this stoichiometry: 1335 meV per atom
ΔE_f (raw): 1.666 eV per atom
density of states at the Fermi level: 0.342 states/eV per atom
magnetic moment: 4.0 μB per formula unit

Geometry as extended XYZ:
```
5
Lattice="-0.435 -5.031 -2.619 5.671 -0.407 -0.161 -0.040 -2.318 4.459" Properties=species:S:1:pos:R:3 pbc="T T T"
N 2.836 -0.203 -0.080
N -0.218 -2.515 -1.309
Se 2.598 -3.878 0.840
Rb 0.000 0.000 0.000
F -0.020 -1.159 2.230
```

---

Entry 12:
RbSeN2F after structural relaxation, computed with GGA-PBE.

## Properties
energy above the lowest structure with this stoichiometry: 1032 meV per atom
ΔE_f (raw): 1.363 eV per atom
density of states at the Fermi level: 0.326 states/eV per atom
magnetic moment: 6.0 μB per formula unit

Geometry as extended XYZ:
```
5
Lattice="5.316 0.000 0.000 0.000 5.316 0.000 0.000 0.000 4.154" Properties=species:S:1:pos:R:3 pbc="T T T"
N 0.000 2.658 0.000
N 2.658 0.000 0.000
Se 0.000 0.000 2.077
Rb 2.658 2.658 2.077
F 0.000 0.000 0.000
```

---

Entry 13:
RbSiNF2 after structural relaxation, computed with GGA-PBE.

## Properties
energy above the lowest structure with this stoichiometry: 2169 meV per atom
ΔE_f (raw): 0.548 eV per atom
density of states at the Fermi level: 0.889 states/eV per atom
magnetic moment: 2.0 μB per formula unit

Geometry as extended XYZ:
```
5
Lattice="-3.448 -3.067 -1.837 2.662 -0.501 -4.163 2.500 -4.060 2.087" Properties=species:S:1:pos:R:3 pbc="T T T"
Si 0.857 -3.814 -1.957
N 1.250 -2.030 1.043
Rb 0.000 0.000 0.000
F 1.331 -0.250 -2.082
F -1.724 -1.534 -0.918
```

---

Entry 14:
RbSiN2F after structural relaxation, computed with GGA-PBE.

## Properties
energy above the lowest structure with this stoichiometry: 2580 meV per atom
ΔE_f (raw): 2.054 eV per atom
density of states at the Fermi level: 0.621 states/eV per atom
magnetic moment: 2.0 μB per formula unit

Geometry as extended XYZ:
```
5
Lattice="4.682 0.000 0.000 0.000 4.682 0.000 0.000 0.000 4.820" Properties=species:S:1:pos:R:3 pbc="T T T"
Si 2.341 2.341 2.410
N 0.000 2.341 0.000
N 2.341 0.000 0.000
Rb 0.000 0.000 0.000
F 0.000 0.000 2.410
```

---

Entry 15:
RbSiN2F after structural relaxation, computed with GGA-PBE.

## Properties
energy above the lowest structure with this stoichiometry: 0 meV per atom
ΔE_f (raw): -0.526 eV per atom
density of states at the Fermi level: 0.224 states/eV per atom
magnetic moment: 0.0 μB per formula unit

Geometry as extended XYZ:
```
5
Lattice="3.540 0.000 0.000 0.000 3.540 0.000 0.000 0.000 5.341" Properties=species:S:1:pos:R:3 pbc="T T T"
Si 0.000 0.000 0.000
N 0.000 1.770 0.000
N 1.770 0.000 0.000
Rb 1.770 1.770 2.670
F 0.000 0.000 2.670
```

---

Entry 16:
RbSiNF2 after structural relaxation, computed with GGA-PBE.

## Properties
energy above the lowest structure with this stoichiometry: 0 meV per atom
ΔE_f (raw): -1.622 eV per atom
density of states at the Fermi level: 0.000 states/eV per atom
magnetic moment: 0.0 μB per formula unit

Geometry as extended XYZ:
```
5
Lattice="4.461 0.000 0.000 0.000 4.461 0.000 0.000 0.000 3.284" Properties=species:S:1:pos:R:3 pbc="T T T"
Si 0.000 0.000 0.000
N 0.000 0.000 1.642
Rb 2.230 2.230 1.642
F 0.000 2.230 0.000
F 2.230 0.000 0.000
```

---

Entry 17:
RbSnN2F after structural relaxation, computed with GGA-PBE.

## Properties
energy above the lowest structure with this stoichiometry: 0 meV per atom
ΔE_f (raw): -0.029 eV per atom
density of states at the Fermi level: 0.666 states/eV per atom
magnetic moment: 2.0 μB per formula unit

Geometry as extended XYZ:
```
5
Lattice="4.202 0.000 0.000 0.000 4.202 0.000 0.000 0.000 4.745" Properties=species:S:1:pos:R:3 pbc="T T T"
N 0.000 2.101 0.000
N 2.101 0.000 0.000
Sn 0.000 0.000 0.000
Rb 2.101 2.101 2.373
F 0.000 0.000 2.373
```

---

Entry 18:
RbSnNF2 after structural relaxation, computed with GGA-PBE.

## Properties
energy above the lowest structure with this stoichiometry: 0 meV per atom
ΔE_f (raw): -1.343 eV per atom
density of states at the Fermi level: 0.377 states/eV per atom
magnetic moment: 0.0 μB per formula unit

Geometry as extended XYZ:
```
5
Lattice="-3.852 -0.185 2.549 1.574 -3.805 2.102 1.682 2.188 2.701" Properties=species:S:1:pos:R:3 pbc="T T T"
N 0.841 1.094 1.351
Sn 0.000 0.000 0.000
Rb -0.298 -0.901 3.676
F 0.787 -1.902 1.051
F -1.926 -0.093 1.275
```

---

Entry 19:
RbSnNF2 after structural relaxation, computed with GGA-PBE.

## Properties
energy above the lowest structure with this stoichiometry: 1363 meV per atom
ΔE_f (raw): 0.020 eV per atom
density of states at the Fermi level: 0.380 states/eV per atom
magnetic moment: 1.0 μB per formula unit

Geometry as extended XYZ:
```
5
Lattice="-3.034 3.649 0.921 -3.589 -3.162 0.702 1.081 -0.232 4.483" Properties=species:S:1:pos:R:3 pbc="T T T"
N 0.541 -0.116 2.241
Sn -2.771 0.128 3.053
Rb 0.000 0.000 0.000
F -1.795 -1.581 0.351
F -1.517 1.825 0.460
```

---

Entry 20:
RbSnN2F after structural relaxation, computed with GGA-PBE.

## Properties
energy above the lowest structure with this stoichiometry: 1517 meV per atom
ΔE_f (raw): 1.489 eV per atom
density of states at the Fermi level: 0.736 states/eV per atom
magnetic moment: 2.0 μB per formula unit

Geometry as extended XYZ:
```
5
Lattice="4.524 0.000 0.000 0.000 4.524 0.000 0.000 0.000 4.842" Properties=species:S:1:pos:R:3 pbc="T T T"
N 0.000 2.262 0.000
N 2.262 0.000 0.000
Sn 2.262 2.262 2.421
Rb 0.000 0.000 0.000
F 0.000 0.000 2.421
```